(1)
! K2MgSn7 (PBE, relaxed); values from VASP
&SYSTEM
  ibrav = 0, nat = 10, ntyp = 3
/
ATOMIC_SPECIES
K 39.10 K.upf
Mg 24.30 Mg.upf
Sn 118.71 Sn.upf
CELL_PARAMETERS angstrom
-1.238 4.845 0.958
-4.750 -0.897 -1.599
-3.411 -3.235 11.950
ATOMIC_POSITIONS angstrom
K -3.195 -0.020 9.504
K -3.210 -1.241 2.126
Mg -2.994 1.974 -0.320
Sn -5.350 -3.269 9.620
Sn -1.874 1.232 4.876
Sn -1.056 2.008 2.010
Sn -4.531 -2.493 6.754
Sn -1.706 -1.617 5.975
Sn 0.000 0.000 0.000
Sn -4.700 0.357 5.655
! * symmetry: P-4m2 (115)
! * total DFT energy (no corrections): -33.3 eV/cell
! * formation enthalpy at 0 K: -145 meV/atom
! * crystal system: tetragonal
! * magnetization: 0.0 μB/f.u.

=====

(2)
! KMgSn3 (PBE, relaxed); values from VASP
&SYSTEM
  ibrav = 0, nat = 10, ntyp = 3
/
ATOMIC_SPECIES
K 39.10 K.upf
Mg 24.30 Mg.upf
Sn 118.71 Sn.upf
CELL_PARAMETERS angstrom
6.778 0.000 0.845
0.000 7.257 0.000
-0.776 -3.629 6.226
ATOMIC_POSITIONS angstrom
K 1.179 0.000 4.353
K 4.822 3.628 2.717
Mg 0.000 0.000 0.000
Mg 3.389 0.000 0.422
Sn 4.461 1.459 5.626
Sn 4.461 -1.460 5.626
Sn 1.226 3.628 3.954
Sn 4.775 0.000 3.116
Sn 1.540 5.088 1.444
Sn 1.540 2.169 1.444
! * polymorph energy (0 for the lowest one): 0.000 eV per atom
! * symmetry: Cmcm (63)
! * total DFT energy (no corrections): -30.1 eV/cell
! * formation enthalpy at 0 K: -70 meV/atom
! * crystal system: orthorhombic
! * magnetization: 0.0 μB/f.u.

=====

(3)
! K3Mg3Sn8 (PBE, relaxed); values from VASP
&SYSTEM
  ibrav = 0, nat = 14, ntyp = 3
/
ATOMIC_SPECIES
K 39.10 K.upf
Mg 24.30 Mg.upf
Sn 118.71 Sn.upf
CELL_PARAMETERS angstrom
-0.719 3.851 2.949
-9.535 1.079 0.343
-2.231 -3.820 8.523
ATOMIC_POSITIONS angstrom
K -6.242 0.556 5.907
K -3.210 2.365 4.283
K -9.275 -1.254 7.531
Mg -0.359 1.926 1.474
Mg -8.425 0.335 1.586
Mg -3.341 -3.075 7.280
Sn -2.441 0.023 7.529
Sn -10.043 1.088 4.285
Sn -6.861 2.987 2.580
Sn -5.624 -1.876 9.234
Sn -9.211 2.329 6.944
Sn -3.273 -1.218 4.870
Sn -6.994 0.842 9.427
Sn -5.491 0.269 2.387
! * symmetry: Immm (71)
! * total DFT energy (no corrections): -42.3 eV/cell
! * formation enthalpy at 0 K: -154 meV/atom
! * crystal system: orthorhombic
! * magnetization: 0.0 μB/f.u.